1.
First-principles (GGA-PBEsol) data for an optimized crystal structure of CuAg2, as listed in the Alexandria database.

The calculation puts the total magnetic moment at 0.000 μB per atom. As for the space-group type: I4/mmm, No. 139. The total energy is -3.5809 eV per atom.

a = 6.085 Å, b = 6.085 Å, c = 6.085 Å
α = 153.55°, β = 153.55°, γ = 37.75°
Sites, in units of the cell vectors:
Cu: 0.000 0.000 0.000
Ag: 0.342 0.342 0.000
Ag: 0.658 0.658 0.000

=====

2.
First-principles (GGA-PBEsol) data for an optimized crystal structure of CuAg2, as listed in the Alexandria database.

The calculation puts the total magnetic moment at 0.000 μB per atom. As for the space-group type: P-3m1, No. 164. The total energy is -3.5575 eV per atom.

a = 2.802 Å, b = 2.802 Å, c = 6.616 Å
α = 90.00°, β = 90.00°, γ = 120.00°
Sites, in units of the cell vectors:
Cu: 0.000 0.000 0.000
Ag: 0.333 0.667 0.680
Ag: 0.667 0.333 0.320

=====

3.
First-principles (GGA-PBEsol) data for an optimized crystal structure of Cu3Ag4, as listed in the Alexandria database.

The calculation puts the total magnetic moment at 0.000 μB per atom. As for the space-group type: I4/mmm, No. 139. The total energy is -3.6797 eV per atom.

a = 13.173 Å, b = 13.173 Å, c = 13.173 Å
α = 167.89°, β = 167.89°, γ = 17.15°
Sites, in units of the cell vectors:
Cu: 0.000 0.000 0.000
Cu: 0.279 0.279 0.000
Cu: 0.721 0.721 0.000
Ag: 0.151 0.151 0.000
Ag: 0.430 0.430 0.000
Ag: 0.570 0.570 0.000
Ag: 0.849 0.849 0.000

=====

4.
First-principles (GGA-PBEsol) data for an optimized crystal structure of CuAg2, as listed in the Alexandria database.

The calculation puts the total magnetic moment at 0.000 μB per atom. As for the space-group type: P-62m, No. 189. The total energy is -3.5603 eV per atom.

a = 7.504 Å, b = 7.504 Å, c = 2.758 Å
α = 90.00°, β = 90.00°, γ = 120.00°
Sites, in units of the cell vectors:
Cu: 0.000 0.000 0.000
Cu: 0.333 0.667 0.500
Cu: 0.667 0.333 0.500
Ag: 0.000 0.368 0.000
Ag: 0.000 0.701 0.500
Ag: 0.299 0.299 0.500
Ag: 0.368 0.000 0.000
Ag: 0.632 0.632 0.000
Ag: 0.701 0.000 0.500

=====

5.
First-principles (GGA-PBEsol) data for an optimized crystal structure of Cu4Ag5, as listed in the Alexandria database.

The calculation puts the total magnetic moment at 0.000 μB per atom. As for the space-group type: I4/mmm, No. 139. The total energy is -3.6701 eV per atom.

a = 6.091 Å, b = 6.091 Å, c = 6.091 Å
α = 95.80°, β = 95.80°, γ = 142.94°
Sites, in units of the cell vectors:
Cu: 0.000 0.348 0.348
Cu: 0.000 0.652 0.652
Cu: 0.348 0.000 0.348
Cu: 0.652 0.000 0.652
Ag: 0.000 0.000 0.000
Ag: 0.330 0.330 0.660
Ag: 0.330 0.670 0.000
Ag: 0.670 0.330 0.000
Ag: 0.670 0.670 0.340

=====

6.
First-principles (GGA-PBEsol) data for an optimized crystal structure of Cu4Ag3, as listed in the Alexandria database.

The calculation puts the total magnetic moment at 0.000 μB per atom. As for the space-group type: I4/mmm, No. 139. The total energy is -3.8200 eV per atom.

a = 12.217 Å, b = 12.217 Å, c = 12.217 Å
α = 166.79°, β = 166.79°, γ = 18.72°
Sites, in units of the cell vectors:
Cu: 0.074 0.074 0.000
Cu: 0.367 0.367 0.000
Cu: 0.633 0.633 0.000
Cu: 0.926 0.926 0.000
Ag: 0.207 0.207 0.000
Ag: 0.500 0.500 0.000
Ag: 0.793 0.793 0.000

=====

7.
First-principles (GGA-PBEsol) data for an optimized crystal structure of CuAg5, as listed in the Alexandria database.

The calculation puts the total magnetic moment at 0.000 μB per atom. As for the space-group type: Cm, No. 8. The total energy is -3.4220 eV per atom.

a = 5.417 Å, b = 5.417 Å, c = 6.709 Å
α = 105.64°, β = 105.64°, γ = 30.18°
Sites, in units of the cell vectors:
Cu: 0.000 0.000 0.000
Ag: 0.289 0.289 0.060
Ag: 0.333 0.333 0.672
Ag: 0.609 0.609 0.741
Ag: 0.662 0.662 0.320
Ag: 0.949 0.949 0.395

=====

8.
First-principles (GGA-PBEsol) data for an optimized crystal structure of CuAg8, as listed in the Alexandria database.

The calculation puts the total magnetic moment at 0.000 μB per atom. As for the space-group type: I4/mmm, No. 139. The total energy is -3.3875 eV per atom.

a = 6.340 Å, b = 6.340 Å, c = 6.340 Å
α = 95.68°, β = 95.68°, γ = 143.32°
Sites, in units of the cell vectors:
Cu: 0.000 0.000 0.000
Ag: 0.000 0.330 0.330
Ag: 0.000 0.670 0.670
Ag: 0.330 0.000 0.330
Ag: 0.337 0.337 0.674
Ag: 0.337 0.663 0.000
Ag: 0.663 0.337 0.000
Ag: 0.663 0.663 0.326
Ag: 0.670 0.000 0.670

=====

Number 1: formation energy from the elements 71 meV/atom. Number 2: formation energy from the elements 95 meV/atom. Number 3: formation energy from the elements 70 meV/atom. Number 4: formation energy from the elements 92 meV/atom. Number 5: formation energy from the elements 96 meV/atom. Number 6: formation energy from the elements 76 meV/atom. Number 7: formation energy from the elements 60 meV/atom. Number 8: formation energy from the elements 37 meV/atom.